Record 1
A relaxed structure of SnRhS2Cl. Source: the Alexandria database, functional PBE.

a = 4.7338 Å, b = 4.7338 Å, c = 4.7218 Å
α = 90.00°, β = 90.00°, γ = 90.00°
With the nearest neighbours (Å) after each atom.
Positions (direct):
Sn: 0.0000 0.0000 0.0000  8 S 3.34, 4 Cl 3.35
Rh: 0.5000 0.5000 0.5000  2 Cl 2.36, 4 S 2.37
S: 0.0000 0.5000 0.5000  2 Rh 2.37
S: 0.5000 0.0000 0.5000  2 Rh 2.37
Cl: 0.5000 0.5000 0.0000  2 Rh 2.36

raw formation energy = -0.06 eV/atom
total energy = -21.78 eV per cell

Record 2
A relaxed structure of TcSe2. Source: the Alexandria database, functional PBE.

a = 6.0439 Å, b = 6.0439 Å, c = 5.8766 Å
α = 90.00°, β = 90.00°, γ = 90.00°
With the nearest neighbours (Å) after each atom.
Positions (direct):
Tc: 0.0000 0.0000 0.2500  8 Se 2.68, 2 Tc 2.94
Tc: 0.0000 0.0000 0.7500  8 Se 2.68, 2 Tc 2.94
Tc: 0.5000 0.5000 0.2500  8 Se 2.68, 2 Tc 2.94
Tc: 0.5000 0.5000 0.7500  8 Se 2.68, 2 Tc 2.94
Se: 0.1716 0.3284 0.0000  4 Tc 2.68, 1 Se 2.93
Se: 0.1716 0.6716 0.5000  4 Tc 2.68, 1 Se 2.93
Se: 0.3284 0.1716 0.5000  4 Tc 2.68, 1 Se 2.93
Se: 0.3284 0.8284 0.0000  4 Tc 2.68, 1 Se 2.93
Se: 0.6716 0.1716 0.0000  4 Tc 2.68, 1 Se 2.93
Se: 0.6716 0.8284 0.5000  4 Tc 2.68, 1 Se 2.93
Se: 0.8284 0.3284 0.5000  4 Tc 2.68, 1 Se 2.93
Se: 0.8284 0.6716 0.0000  4 Tc 2.68, 1 Se 2.93

raw formation energy = 0.11 eV/atom
total energy = -67.98 eV per cell

Record 3
A relaxed structure of Hf3InTc. Source: the Alexandria database, functional PBE.

a = 4.9886 Å, b = 4.9886 Å, c = 4.9886 Å
α = 90.00°, β = 90.00°, γ = 90.00°
With the nearest neighbours (Å) after each atom.
Positions (direct):
Hf: 0.0000 0.0000 0.5000  2 Tc 2.49
Hf: 0.0000 0.5000 0.0000  2 Tc 2.49
Hf: 0.5000 0.0000 0.0000  2 Tc 2.49
In: 0.5000 0.5000 0.5000  12 Hf 3.53
Tc: 0.0000 0.0000 0.0000  6 Hf 2.49

energy relative to the elements = 0.40 eV per atom
total energy = -40.97 eV per cell